A plane-wave DFT calculation with SCAN was carried out for MgPt2Se2 at its PBEsol-relaxed geometry.

Magnetization: 0.00 μB per formula unit
Electronic total energy: -185.7 eV for the cell shown

Unit cell a=7.1744 b=7.1744 c=7.1744 alpha=149.48 beta=149.48 gamma=43.71
With the nearest neighbours (Å) after each atom.
Fractional positions:
Mg 0.0000 0.0000 0.0000  8 Se 3.05
Pt 0.2500 0.7500 0.5000  4 Se 2.65, 4 Pt 2.67
Pt 0.7500 0.2500 0.5000  4 Se 2.65, 4 Pt 2.67
Se 0.3898 0.3898 0.0000  4 Pt 2.65, 1 Se 2.94
Se 0.6102 0.6102 0.0000  4 Pt 2.65, 1 Se 2.94

=====

A plane-wave DFT calculation with SCAN was carried out for MoAsN2 at its PBEsol-relaxed geometry.

Magnetization: 0.00 μB per formula unit
Electronic total energy: -71.6 eV for the cell shown

Unit cell a=6.4795 b=6.4795 c=6.4795 alpha=25.61 beta=25.61 gamma=25.61
With the nearest neighbours (Å) after each atom.
Fractional positions:
Mo 0.0000 0.0000 0.0000  2 N 2.04
As 0.5000 0.5000 0.5000  6 N 1.98
N 0.1088 0.1088 0.1088  3 As 1.98, 1 Mo 2.04
N 0.8912 0.8912 0.8912  3 As 1.98, 1 Mo 2.04

=====

A plane-wave DFT calculation with SCAN was carried out for GdYIr2 at its PBEsol-relaxed geometry.

Magnetization: 6.83 μB per formula unit
Formation energy: -887 meV per atom

Unit cell a=4.8014 b=4.8014 c=4.8014 alpha=60.00 beta=60.00 gamma=60.00
With the nearest neighbours (Å) after each atom.
Fractional positions:
Gd 0.0000 0.0000 0.0000  8 Ir 2.94
Y 0.5000 0.5000 0.5000  8 Ir 2.94
Ir 0.2500 0.2500 0.2500  4 Gd 2.94, 4 Y 2.94
Ir 0.7500 0.7500 0.7500  4 Gd 2.94, 4 Y 2.94

=====

A plane-wave DFT calculation with SCAN was carried out for Be2SbW at its PBEsol-relaxed geometry.

Magnetization: 0.00 μB per formula unit
Electronic total energy: -113.1 eV for the cell shown

Unit cell a=2.7794 b=2.7794 c=7.8834 alpha=90.00 beta=90.00 gamma=90.00
With the nearest neighbours (Å) after each atom.
Fractional positions:
Be 0.0000 0.0000 0.2090  4 W 2.56, 4 Be 2.78
Be 0.0000 0.0000 0.7910  4 W 2.56, 4 Be 2.78
Sb 0.5000 0.5000 0.5000  4 Sb 2.78, 8 Be 3.02
W 0.5000 0.5000 0.0000  8 Be 2.56, 4 W 2.78